Record 1
## CsK3Rb3 (PBE-GGA)

Data for an optimized crystal structure of CsK3Rb3.

Unit cell a=11.732 b=11.732 c=11.732 alpha=90.00 beta=90.00 gamma=90.00
Space group Pm-3n (No. 223)
One atom of each set of equivalent atoms:
Cs 0.000 0.000 0.000
K 0.000 0.250 0.500
Rb 0.000 0.500 0.250

Properties
- Density: 1.04 Mg/m³
- Volume: 1614.8 Å³/cell
- Relative energy among the computed polymorphs: 177 meV/atom

Record 2
## YOs2W (PBE-GGA)

Data for an optimized crystal structure of YOs2W.

Unit cell a=2.9225 b=2.9225 c=27.9183 alpha=90.00 beta=90.00 gamma=120.00
Space group R-3m (No. 166, hexagonal axes)
One atom of each set of equivalent atoms:
Y 0.0000 0.0000 0.0000
Os 0.0000 0.0000 0.2423
W 0.0000 0.0000 0.5000

Properties
- Density: 15.76 Mg/m³
- Volume: 206.5 Å³/cell
- Relative energy among the computed polymorphs: 403 meV/atom

Record 3
## CeNdErTm3 (PBE-GGA)

Data for an optimized crystal structure of CeNdErTm3.

Unit cell a=5.009 b=14.910 c=9.998 alpha=90.00 beta=90.00 gamma=90.00
Space group Cmcm (No. 63)
One atom of each set of equivalent atoms:
Ce 0.000 0.000 0.250
Nd 0.000 0.500 0.000
Er 0.000 0.332 0.250
Tm 0.000 0.167 0.000
Tm 0.000 0.332 0.750

Properties
- Density: 8.52 Mg/m³
- Raw total energy: -4.719 eV per atom
- Volume: 746.7 Å³/cell